The following is a PBE calculation of Y2MnV after structural relaxation, from Alexandria via LeMat-Bulk.

POSCAR file:
```
Y2MnV
1.0
-3.9031 3.9031 3.1348
3.9031 -3.9031 3.1348
3.9031 3.9031 -3.1348
Y Mn V
4 2 2
direct
0.1187 0.1250 0.4937 Y
0.3750 0.8813 0.0063 Y
0.6313 0.6250 0.5063 Y
0.8750 0.3687 0.9937 Y
0.0000 0.0000 0.0000 Mn
0.7500 0.2500 0.5000 Mn
0.2500 0.7500 0.5000 V
0.5000 0.5000 0.0000 V
```

ρ (Mg/m³): 4.93
Calculated volume (Å³/atom): 23.9
Magnetic moment (Bohr magnetons per cell): 12.8
Final energy (eV/atom): -7.038
DOS(E_F) (states/eV/f.u.): 5.96
Excess energy over the best structure of this formula in the dataset (kcal/mol of atoms): 9.65